# 1
DFT (PBE-GGA) results for a relaxed ZrTiAu3 crystal.

CIF file:
```
data_ZrTiAu3
_chemical_formula_sum 'Zr1 Ti1 Au3'
_space_group_name_H-M_alt 'P m -3 m'
_space_group_IT_number 221
_space_group_name_Hall '-P 4 2 3'
_cell_length_a 4.850
_cell_length_b 4.850
_cell_length_c 4.850
_cell_angle_alpha 90.00
_cell_angle_beta 90.00
_cell_angle_gamma 90.00
loop_
_atom_site_label
_atom_site_fract_x
_atom_site_fract_y
_atom_site_fract_z
Zr1 0.000 0.000 0.000
Ti1 0.500 0.500 0.500
Au1 0.000 0.500 0.500
```


# 2
DFT (PBE-GGA) results for a relaxed ZrTiAu2 crystal.

CIF file:
```
data_ZrTiAu2
_chemical_formula_sum 'Zr4 Ti4 Au8'
_space_group_name_H-M_alt 'F m m m'
_space_group_IT_number 69
_space_group_name_Hall '-F 2 2'
_cell_length_a 6.023
_cell_length_b 6.099
_cell_length_c 8.092
_cell_angle_alpha 90.00
_cell_angle_beta 90.00
_cell_angle_gamma 90.00
loop_
_atom_site_label
_atom_site_fract_x
_atom_site_fract_y
_atom_site_fract_z
Zr1 0.000 0.000 0.000
Ti1 0.000 0.000 0.500
Au1 0.250 0.250 0.250
```


# 3
DFT (PBE-GGA) results for a relaxed ZrTiAu2 crystal.

CIF file:
```
data_ZrTiAu2
_chemical_formula_sum 'Zr1 Ti1 Au2'
_space_group_name_H-M_alt 'P 4/m m m'
_space_group_IT_number 123
_space_group_name_Hall '-P 4 2'
_cell_length_a 3.225
_cell_length_b 3.225
_cell_length_c 7.198
_cell_angle_alpha 90.00
_cell_angle_beta 90.00
_cell_angle_gamma 90.00
loop_
_atom_site_label
_atom_site_fract_x
_atom_site_fract_y
_atom_site_fract_z
Zr1 0.000 0.000 0.000
Ti1 0.000 0.000 0.500
Au1 0.500 0.500 0.276
```


# 4
DFT (PBE-GGA) results for a relaxed Tl2Au3 crystal.

CIF file:
```
data_Tl2Au3
_chemical_formula_sum 'Tl16 Au24'
_space_group_name_H-M_alt 'F d d 2'
_space_group_IT_number 43
_space_group_name_Hall 'F 2 -2d'
_cell_length_a 13.871
_cell_length_b 14.823
_cell_length_c 4.893
_cell_angle_alpha 90.00
_cell_angle_beta 90.00
_cell_angle_gamma 90.00
loop_
_atom_site_label
_atom_site_fract_x
_atom_site_fract_y
_atom_site_fract_z
Tl1 0.041 0.175 0.000
Au1 0.000 0.000 0.736
Au2 0.102 0.481 0.747
```


| no. | Fermi-level density of states (states/eV per atom) | formation energy (eV/atom) | M_tot (μB per cell) |
| --- | --- | --- | --- |
| 1 | 1.62 | 0.494 | 0.01 |
| 2 | 1.33 | -0.401 | 2.63 |
| 3 | 0.99 | -0.409 | 0.44 |
| 4 | 0.26 | 0.036 | 0.00 |